## a
PuCu2F8 | GGA-PBE | relaxed

a = 6.500 Å, b = 6.500 Å, c = 6.500 Å
α = 128.78°, β = 128.78°, γ = 75.36°
Atoms (fractional coordinates):
Pu (0.000, 0.000, 0.000)
Cu (0.250, 0.750, 0.500)
Cu (0.750, 0.250, 0.500)
F (0.026, 0.578, 0.846)
F (0.180, 0.026, 0.448)
F (0.268, 0.422, 0.448)
F (0.422, 0.974, 0.154)
F (0.578, 0.732, 0.552)
F (0.732, 0.180, 0.154)
F (0.820, 0.268, 0.846)
F (0.974, 0.820, 0.552)

Computed properties:
Its spin magnetization is 2.00 μB per cell.

***

## b
PuCu2F8 | GGA-PBE | relaxed

a = 5.674 Å, b = 5.674 Å, c = 5.304 Å
α = 98.37°, β = 98.37°, γ = 86.08°
Atoms (fractional coordinates):
Pu (0.000, 0.000, 0.000)
Cu (0.326, 0.326, 0.519)
Cu (0.674, 0.674, 0.481)
F (0.030, 0.686, 0.730)
F (0.188, 0.188, 0.768)
F (0.314, 0.970, 0.270)
F (0.454, 0.454, 0.259)
F (0.546, 0.546, 0.741)
F (0.686, 0.030, 0.730)
F (0.812, 0.812, 0.232)
F (0.970, 0.314, 0.270)

Computed properties:
Its spin magnetization is 2.00 μB per cell.

***

On energetic grounds, a is preferred over the next structure by 2.6 kJ/mol of atoms.

***

## a
Rb2Cu3F8 | GGA-PBE | relaxed

a = 3.948 Å, b = 3.948 Å, c = 12.187 Å
α = 90.00°, β = 90.00°, γ = 90.00°
Atoms (fractional coordinates):
Rb (0.000, 0.000, 0.186)
Rb (0.000, 0.000, 0.814)
Cu (0.500, 0.500, 0.000)
Cu (0.500, 0.500, 0.368)
Cu (0.500, 0.500, 0.632)
F (0.000, 0.500, 0.000)
F (0.000, 0.500, 0.365)
F (0.000, 0.500, 0.635)
F (0.500, 0.000, 0.000)
F (0.500, 0.000, 0.365)
F (0.500, 0.000, 0.635)
F (0.500, 0.500, 0.164)
F (0.500, 0.500, 0.836)

Computed properties:
Its spin magnetization is 1.31 μB per cell.

***

## b
Rb2Cu3F8 | GGA-PBE | relaxed

a = 6.850 Å, b = 6.850 Å, c = 6.194 Å
α = 104.65°, β = 104.65°, γ = 52.64°
Atoms (fractional coordinates):
Rb (0.214, 0.214, 0.171)
Rb (0.786, 0.786, 0.829)
Cu (0.250, 0.750, 0.500)
Cu (0.500, 0.500, 0.000)
Cu (0.750, 0.250, 0.500)
F (0.102, 0.102, 0.493)
F (0.204, 0.640, 0.124)
F (0.360, 0.796, 0.876)
F (0.402, 0.402, 0.547)
F (0.598, 0.598, 0.453)
F (0.640, 0.204, 0.124)
F (0.796, 0.360, 0.876)
F (0.898, 0.898, 0.507)

Computed properties:
Its spin magnetization is 3.01 μB per cell.

***

On energetic grounds, b is preferred over the next structure by 1.1 kJ/mol of atoms.

***

## a
Rb2CuF4 | GGA-PBE | relaxed

a = 7.448 Å, b = 7.448 Å, c = 7.448 Å
α = 147.11°, β = 147.11°, γ = 47.20°
Atoms (fractional coordinates):
Rb (0.144, 0.144, 0.000)
Rb (0.856, 0.856, 0.000)
Cu (0.500, 0.500, 0.000)
F (0.000, 0.500, 0.500)
F (0.354, 0.354, 0.000)
F (0.500, 0.000, 0.500)
F (0.646, 0.646, 0.000)

Computed properties:
Its spin magnetization is 1.00 μB per cell.

***

## b
Rb2CuF4 | GGA-PBE | relaxed

a = 6.061 Å, b = 6.170 Å, c = 7.928 Å
α = 90.00°, β = 108.48°, γ = 90.00°
Atoms (fractional coordinates):
Rb (0.131, 0.250, 0.118)
Rb (0.198, 0.750, 0.495)
Rb (0.802, 0.250, 0.505)
Rb (0.869, 0.750, 0.882)
Cu (0.387, 0.250, 0.759)
Cu (0.613, 0.750, 0.241)
F (0.191, 0.023, 0.790)
F (0.191, 0.477, 0.790)
F (0.285, 0.750, 0.172)
F (0.316, 0.250, 0.491)
F (0.684, 0.750, 0.509)
F (0.715, 0.250, 0.828)
F (0.809, 0.523, 0.210)
F (0.809, 0.977, 0.210)

Computed properties:
Its spin magnetization is 2.00 μB per cell.

***

On energetic grounds, a is preferred over the next structure by 10.5 kJ/mol of atoms.